Entry 1:
Below is a geometry-optimized PW2Au structure, with properties calculated at the PBE level.

a b c (Å): 3.134 4.515 4.549
angles (deg): 90.00 90.00 90.00
Sites, in units of the cell vectors:
P  0.000  0.000  0.000
W  0.000  0.500  0.500
W  0.500  0.500  0.000
Au  0.500  0.000  0.500

Energy of formation (eV/atom): 0.6350
SG: Pmmm
Distance to the lowest polymorph of the same formula (eV/atom): 0.526
Size of the total moment (Bohr magnetons per cell): 0.00

Entry 2:
Below is a geometry-optimized P3WAu structure, with properties calculated at the PBE level.

a b c (Å): 4.694 4.694 4.694
angles (deg): 90.00 90.00 90.00
Sites, in units of the cell vectors:
P  0.000  0.000  0.500
P  0.000  0.500  0.000
P  0.500  0.000  0.000
W  0.000  0.000  0.000
Au  0.500  0.500  0.500

Energy of formation (eV/atom): 0.6692
SG: Pm-3m
Distance to the lowest polymorph of the same formula (eV/atom): 0.000
Size of the total moment (Bohr magnetons per cell): 0.00

Entry 3:
Below is a geometry-optimized PWAu structure, with properties calculated at the PBE level.

a b c (Å): 7.515 7.335 2.805
angles (deg): 82.75 75.52 21.73
Sites, in units of the cell vectors:
P  0.000  0.000  0.000
W  0.374  0.374  0.626
Au  0.706  0.706  0.294

Energy of formation (eV/atom): 0.3748
SG: Fmm2
Distance to the lowest polymorph of the same formula (eV/atom): 0.202
Size of the total moment (Bohr magnetons per cell): 0.00

Entry 4:
Below is a geometry-optimized P2WAu structure, with properties calculated at the PBE level.

a b c (Å): 5.086 5.086 2.674
angles (deg): 90.22 90.22 106.89
Sites, in units of the cell vectors:
P  0.000  0.500  0.000
P  0.500  0.000  0.000
W  0.000  0.000  0.000
Au  0.500  0.500  0.000

Energy of formation (eV/atom): 0.4510
SG: C2/m
Distance to the lowest polymorph of the same formula (eV/atom): 0.374
Size of the total moment (Bohr magnetons per cell): 0.00

Entry 5:
Below is a geometry-optimized P2WAu structure, with properties calculated at the PBE level.

a b c (Å): 2.970 2.970 7.564
angles (deg): 90.00 90.00 90.00
Sites, in units of the cell vectors:
P  0.000  0.000  0.000
P  0.500  0.500  0.314
W  0.000  0.000  0.488
Au  0.500  0.500  0.760

Energy of formation (eV/atom): 0.4116
SG: P4mm
Distance to the lowest polymorph of the same formula (eV/atom): 0.335
Size of the total moment (Bohr magnetons per cell): 0.00

Entry 6:
Below is a geometry-optimized PWAu structure, with properties calculated at the PBE level.

a b c (Å): 4.077 4.077 3.496
angles (deg): 90.00 90.00 120.00
Sites, in units of the cell vectors:
P  0.000  0.000  0.000
W  0.667  0.333  0.000
Au  0.333  0.667  0.500

Energy of formation (eV/atom): 0.2765
SG: P-6m2
Distance to the lowest polymorph of the same formula (eV/atom): 0.104
Size of the total moment (Bohr magnetons per cell): 0.00

Entry 7:
Below is a geometry-optimized PW2Au structure, with properties calculated at the PBE level.

a b c (Å): 2.782 2.782 9.226
angles (deg): 90.00 90.00 108.01
Sites, in units of the cell vectors:
P  0.000  0.000  0.000
W  0.000  0.000  0.441
W  0.500  0.500  0.205
Au  0.500  0.500  0.695

Energy of formation (eV/atom): 0.3367
SG: Cmm2
Distance to the lowest polymorph of the same formula (eV/atom): 0.227
Size of the total moment (Bohr magnetons per cell): 0.00

Entry 8:
Below is a geometry-optimized PW2Au structure, with properties calculated at the PBE level.

a b c (Å): 5.333 5.333 5.333
angles (deg): 147.17 130.44 60.73
Sites, in units of the cell vectors:
P  0.000  0.000  0.000
W  0.204  0.704  0.500
W  0.484  0.484  0.000
Au  0.760  0.260  0.500

Energy of formation (eV/atom): 0.2987
SG: Imm2
Distance to the lowest polymorph of the same formula (eV/atom): 0.189
Size of the total moment (Bohr magnetons per cell): 0.00

Entry 9:
Below is a geometry-optimized PW2Au structure, with properties calculated at the PBE level.

a b c (Å): 4.936 4.936 4.936
angles (deg): 133.10 133.10 68.50
Sites, in units of the cell vectors:
P  0.000  0.000  0.000
W  0.250  0.750  0.500
W  0.500  0.500  0.000
Au  0.750  0.250  0.500

Energy of formation (eV/atom): 0.6060
SG: I-4m2
Distance to the lowest polymorph of the same formula (eV/atom): 0.497
Size of the total moment (Bohr magnetons per cell): 0.00

Entry 10:
Below is a geometry-optimized P2WAu structure, with properties calculated at the PBE level.

a b c (Å): 2.621 4.492 5.774
angles (deg): 90.00 90.11 90.00
Sites, in units of the cell vectors:
P  0.002  0.000  0.204
P  0.998  0.000  0.796
W  0.000  0.500  0.000
Au  0.000  0.500  0.500

Energy of formation (eV/atom): 0.4681
SG: P2/m
Distance to the lowest polymorph of the same formula (eV/atom): 0.392
Size of the total moment (Bohr magnetons per cell): 0.00

Entry 11:
Below is a geometry-optimized PW2Au structure, with properties calculated at the PBE level.

a b c (Å): 4.445 5.260 5.260
angles (deg): 32.22 90.00 90.00
Sites, in units of the cell vectors:
P  0.000  0.000  0.000
W  0.000  0.703  0.703
W  0.500  0.078  0.078
Au  0.500  0.342  0.342

Energy of formation (eV/atom): 0.2963
SG: Amm2
Distance to the lowest polymorph of the same formula (eV/atom): 0.187
Size of the total moment (Bohr magnetons per cell): 0.00

Entry 12:
Below is a geometry-optimized PW2Au structure, with properties calculated at the PBE level.

a b c (Å): 4.432 4.432 4.432
angles (deg): 60.00 60.00 60.00
Sites, in units of the cell vectors:
P  0.000  0.000  0.000
W  0.250  0.250  0.250
W  0.750  0.750  0.750
Au  0.500  0.500  0.500

Energy of formation (eV/atom): 0.4599
SG: Fm-3m
Distance to the lowest polymorph of the same formula (eV/atom): 0.351
Size of the total moment (Bohr magnetons per cell): 0.00

Entry 13:
Below is a geometry-optimized P2WAu structure, with properties calculated at the PBE level.

a b c (Å): 6.690 6.690 6.690
angles (deg): 130.54 130.54 72.55
Sites, in units of the cell vectors:
P  0.105  0.625  0.980
P  0.375  0.355  0.480
P  0.645  0.125  0.020
P  0.875  0.895  0.520
W  0.000  0.000  0.000
W  0.750  0.250  0.500
Au  0.250  0.750  0.500
Au  0.500  0.500  0.000

Energy of formation (eV/atom): 0.2320
SG: I-42d
Distance to the lowest polymorph of the same formula (eV/atom): 0.156
Size of the total moment (Bohr magnetons per cell): 0.00

Entry 14:
Below is a geometry-optimized P2WAu structure, with properties calculated at the PBE level.

a b c (Å): 3.176 3.176 6.100
angles (deg): 90.00 90.00 90.00
Sites, in units of the cell vectors:
P  0.000  0.000  0.213
P  0.000  0.000  0.787
W  0.500  0.500  0.000
Au  0.500  0.500  0.500

Energy of formation (eV/atom): 0.0849
SG: P4/mmm
Distance to the lowest polymorph of the same formula (eV/atom): 0.008
Size of the total moment (Bohr magnetons per cell): 0.00

Entry 15:
Below is a geometry-optimized PW2Au structure, with properties calculated at the PBE level.

a b c (Å): 4.512 4.512 4.512
angles (deg): 60.00 60.00 60.00
Sites, in units of the cell vectors:
P  0.000  0.000  0.000
W  0.250  0.250  0.250
W  0.500  0.500  0.500
Au  0.750  0.750  0.750

Energy of formation (eV/atom): 0.8054
SG: F-43m
Distance to the lowest polymorph of the same formula (eV/atom): 0.696
Size of the total moment (Bohr magnetons per cell): 0.00

Entry 16:
Below is a geometry-optimized PW3Au structure, with properties calculated at the PBE level.

a b c (Å): 4.849 4.849 4.849
angles (deg): 90.00 90.00 90.00
Sites, in units of the cell vectors:
P  0.000  0.000  0.000
W  0.000  0.500  0.500
W  0.500  0.000  0.500
W  0.500  0.500  0.000
Au  0.500  0.500  0.500

Energy of formation (eV/atom): 2.9146
SG: Pm-3m
Distance to the lowest polymorph of the same formula (eV/atom): 1.966
Size of the total moment (Bohr magnetons per cell): 0.00

Entry 17:
Below is a geometry-optimized PW2Au structure, with properties calculated at the PBE level.

a b c (Å): 9.953 9.953 9.953
angles (deg): 158.21 158.21 31.00
Sites, in units of the cell vectors:
P  0.000  0.000  0.000
P  0.750  0.250  0.500
W  0.108  0.625  0.983
W  0.375  0.358  0.483
W  0.642  0.125  0.017
W  0.875  0.892  0.517
Au  0.250  0.750  0.500
Au  0.500  0.500  0.000

Energy of formation (eV/atom): 0.7124
SG: I-42d
Distance to the lowest polymorph of the same formula (eV/atom): 0.603
Size of the total moment (Bohr magnetons per cell): 0.00

Entry 18:
Below is a geometry-optimized P2WAu structure, with properties calculated at the PBE level.

a b c (Å): 6.737 6.737 6.737
angles (deg): 153.59 150.34 40.13
Sites, in units of the cell vectors:
P  0.000  0.000  0.000
P  0.720  0.220  0.500
W  0.149  0.649  0.500
Au  0.374  0.374  0.000

Energy of formation (eV/atom): 0.1449
SG: Imm2
Distance to the lowest polymorph of the same formula (eV/atom): 0.068
Size of the total moment (Bohr magnetons per cell): 0.00

Entry 19:
Below is a geometry-optimized PWAu structure, with properties calculated at the PBE level.

a b c (Å): 5.444 5.444 5.444
angles (deg): 146.95 146.95 47.43
Sites, in units of the cell vectors:
P  0.000  0.000  0.000
W  0.385  0.385  0.000
Au  0.688  0.688  0.000

Energy of formation (eV/atom): 0.1728
SG: I4mm
Distance to the lowest polymorph of the same formula (eV/atom): 0.000
Size of the total moment (Bohr magnetons per cell): 0.00

Entry 20:
Below is a geometry-optimized PWAu4 structure, with properties calculated at the PBE level.

a b c (Å): 5.443 5.443 5.443
angles (deg): 60.00 60.00 60.00
Sites, in units of the cell vectors:
P  0.000  0.000  0.000
W  0.750  0.750  0.750
Au  0.375  0.375  0.375
Au  0.375  0.375  0.875
Au  0.375  0.875  0.375
Au  0.875  0.375  0.375

Energy of formation (eV/atom): 0.9063
SG: F-43m
Size of the total moment (Bohr magnetons per cell): 2.98

Entry 21:
Below is a geometry-optimized PW2Au structure, with properties calculated at the PBE level.

a b c (Å): 8.706 8.706 8.706
angles (deg): 19.24 19.24 19.24
Sites, in units of the cell vectors:
P  0.000  0.000  0.000
W  0.259  0.259  0.259
W  0.741  0.741  0.741
Au  0.500  0.500  0.500

Energy of formation (eV/atom): 0.2713
SG: R-3m
Distance to the lowest polymorph of the same formula (eV/atom): 0.162
Size of the total moment (Bohr magnetons per cell): 0.00

Entry 22:
Below is a geometry-optimized PW2Au structure, with properties calculated at the PBE level.

a b c (Å): 9.066 9.066 9.066
angles (deg): 18.57 18.57 18.57
Sites, in units of the cell vectors:
P  0.000  0.000  0.000
W  0.486  0.486  0.486
W  0.732  0.732  0.732
Au  0.240  0.240  0.240

Energy of formation (eV/atom): 0.2593
SG: R3m
Distance to the lowest polymorph of the same formula (eV/atom): 0.150
Size of the total moment (Bohr magnetons per cell): 0.00

Entry 23:
Below is a geometry-optimized P2WAu structure, with properties calculated at the PBE level.

a b c (Å): 3.329 4.559 4.371
angles (deg): 90.00 102.14 90.00
Sites, in units of the cell vectors:
P  0.000  0.000  0.000
P  0.443  0.500  0.773
W  0.356  0.000  0.567
Au  0.809  0.500  0.318

Energy of formation (eV/atom): 0.1792
SG: Pm
Distance to the lowest polymorph of the same formula (eV/atom): 0.103
Size of the total moment (Bohr magnetons per cell): 0.00

Entry 24:
Below is a geometry-optimized P3WAu structure, with properties calculated at the PBE level.

a b c (Å): 4.655 4.655 4.655
angles (deg): 90.00 90.00 90.00
Sites, in units of the cell vectors:
P  0.000  0.000  0.500
P  0.000  0.500  0.000
P  0.500  0.000  0.000
W  0.500  0.500  0.500
Au  0.000  0.000  0.000

Energy of formation (eV/atom): 1.8332
SG: Pm-3m
Distance to the lowest polymorph of the same formula (eV/atom): 1.164
Size of the total moment (Bohr magnetons per cell): 0.00

Entry 25:
Below is a geometry-optimized PW2Au structure, with properties calculated at the PBE level.

a b c (Å): 2.901 3.981 5.661
angles (deg): 90.00 103.36 90.00
Sites, in units of the cell vectors:
P  0.000  0.000  0.000
W  0.098  0.500  0.769
W  0.902  0.500  0.231
Au  0.500  0.000  0.500

Energy of formation (eV/atom): 0.3104
SG: P2/m
Distance to the lowest polymorph of the same formula (eV/atom): 0.201
Size of the total moment (Bohr magnetons per cell): 0.00

Entry 26:
Below is a geometry-optimized P2WAu structure, with properties calculated at the PBE level.

a b c (Å): 8.022 8.022 8.022
angles (deg): 22.26 22.26 22.26
Sites, in units of the cell vectors:
P  0.240  0.240  0.240
P  0.760  0.760  0.760
W  0.500  0.500  0.500
Au  0.000  0.000  0.000

Energy of formation (eV/atom): 0.0765
SG: R-3m
Distance to the lowest polymorph of the same formula (eV/atom): 0.000
Size of the total moment (Bohr magnetons per cell): 0.00

Entry 27:
Below is a geometry-optimized P2WAu structure, with properties calculated at the PBE level.

a b c (Å): 4.584 4.584 4.584
angles (deg): 126.00 126.00 79.89
Sites, in units of the cell vectors:
P  0.250  0.750  0.500
P  0.750  0.250  0.500
W  0.000  0.000  0.000
Au  0.500  0.500  0.000

Energy of formation (eV/atom): 0.5247
SG: I4/mmm
Distance to the lowest polymorph of the same formula (eV/atom): 0.448
Size of the total moment (Bohr magnetons per cell): 0.00

Entry 28:
Below is a geometry-optimized PWAu structure, with properties calculated at the PBE level.

a b c (Å): 4.131 4.131 4.131
angles (deg): 60.00 60.00 60.00
Sites, in units of the cell vectors:
P  0.000  0.000  0.000
W  0.250  0.250  0.250
Au  0.750  0.750  0.750

Energy of formation (eV/atom): 0.3788
SG: F-43m
Distance to the lowest polymorph of the same formula (eV/atom): 0.206
Size of the total moment (Bohr magnetons per cell): 0.00

Entry 29:
Below is a geometry-optimized P2WAu structure, with properties calculated at the PBE level.

a b c (Å): 4.479 4.479 4.479
angles (deg): 60.00 60.00 60.00
Sites, in units of the cell vectors:
P  0.000  0.000  0.000
P  0.250  0.250  0.250
W  0.500  0.500  0.500
Au  0.750  0.750  0.750

Energy of formation (eV/atom): 0.8331
SG: F-43m
Distance to the lowest polymorph of the same formula (eV/atom): 0.757
Size of the total moment (Bohr magnetons per cell): 0.00

Entry 30:
Below is a geometry-optimized P2WAu structure, with properties calculated at the PBE level.

a b c (Å): 3.469 3.469 5.238
angles (deg): 90.00 90.00 90.00
Sites, in units of the cell vectors:
P  0.000  0.000  0.000
P  0.500  0.500  0.383
W  0.000  0.000  0.532
Au  0.500  0.500  0.883

Energy of formation (eV/atom): 0.2214
SG: P4mm
Distance to the lowest polymorph of the same formula (eV/atom): 0.145
Size of the total moment (Bohr magnetons per cell): 0.00